## HfCu2GeS (PBE-GGA)

Data for HfCu2GeS after structural relaxation.

Calculated values
Density of states at the Fermi level (states/eV per atom): 0.53
SG: P4/mmm (123)
Total moment (μB/f.u.): 0.00
Formation energy from raw total energies (eV/atom): 0.3759

Unit cell a=4.213 b=5.226 c=4.213 alpha=90.00 beta=90.00 gamma=90.00
Fractional positions:
Ge1 0.000 0.500 0.000
Cu1 0.000 0.000 0.500
Hf1 0.500 0.500 0.500
Cu2 0.500 0.000 0.000
S1 0.000 0.000 0.000



## HfScCuGe (PBE-GGA)

Data for HfScCuGe after structural relaxation.

Calculated values
Density of states at the Fermi level (states/eV per atom): 0.99
SG: F-43m (216)
Total moment (μB/f.u.): 0.00
Energy of formation from the pure elements (eV per atom): -0.37

Unit cell a=4.643 b=4.643 c=4.643 alpha=60.00 beta=60.00 gamma=60.00
Fractional positions:
Cu1 0.500 0.500 0.500
Hf1 0.250 0.250 0.250
Sc1 0.750 0.750 0.750
Ge1 0.000 0.000 0.000



## Hf2ThCu2Ge2 (PBE-GGA)

Data for Hf2ThCu2Ge2 after structural relaxation.

Calculated values
Density of states at the Fermi level (states/eV per atom): 0.87
SG: R-3m (166)
Total moment (μB/f.u.): 0.00
Energy of formation from the pure elements (eV per atom): -0.28

Unit cell a=4.206 b=4.206 c=9.223 alpha=76.82 beta=76.82 gamma=60.00
Fractional positions:
Cu1 0.414 0.414 0.758
Th1 0.000 0.000 0.000
Ge1 0.744 0.744 0.768
Ge2 0.256 0.256 0.232
Hf1 0.867 0.867 0.399
Hf2 0.133 0.133 0.601
Cu2 0.586 0.586 0.242